The following is a DFT calculation (meta-GGA SCAN) of ReBIr3 at its PBEsol-relaxed geometry.

```
data_ReBIr3
_chemical_formula_sum 'Re1 B1 Ir3'
_cell_length_a 4.6880
_cell_length_b 4.6880
_cell_length_c 4.6880
_cell_angle_alpha 90.00
_cell_angle_beta 90.00
_cell_angle_gamma 90.00
_space_group_name_H-M_alt 'P m -3 m'
_space_group_IT_number 221
_space_group_name_Hall '-P 4 2 3'
loop_
_atom_site_label
_atom_site_type_symbol
_atom_site_fract_x
_atom_site_fract_y
_atom_site_fract_z
Re1 Re 0.0000 0.0000 0.0000
B1 B 0.5000 0.5000 0.5000
Ir1 Ir 0.0000 0.0000 0.5000
```

Calculated values
Total DFT energy (no corrections) = -278.41 eV per cell